(1)
The following is a DFT calculation (GGA-PBE) of DyTm2Ga after structural relaxation.

It has space group Cmcm (No. 63), with a = 3.646 Å, b = 12.582 Å, c = 9.440 Å, α = 90.00°, β = 90.00° and γ = 90.00°. Symmetry generates all atoms from Dy at (0.000, 0.053, 0.250), Tm at (0.000, 0.365, 0.048) and Ga at (0.000, 0.253, 0.750).

The calculation puts the raw total energy at -4.426 eV per atom. For the formation enthalpy at 0 K, the calculation gives -0.2832 eV/atom. The value obtained for the energy above the most stable polymorph in this dataset is 4.4 meV per atom.


(2)
The following is a DFT calculation (GGA-PBE) of KSbCI2 after structural relaxation.

It has space group P4/mmm (No. 123), with a = 6.629 Å, b = 6.629 Å, c = 7.190 Å, α = 90.00°, β = 90.00° and γ = 90.00°. Symmetry generates all atoms from K at (0.000, 0.000, 0.000), Sb at (0.000, 0.000, 0.500), C at (0.500, 0.500, 0.500) and I at (0.000, 0.500, 0.000).

As for the raw formation energy: 1741.0 meV per atom. The calculation puts the raw total energy at -1.768 eV per atom. The value obtained for the energy above the most stable polymorph in this dataset is 1241.5 meV per atom.


(3)
The following is a DFT calculation (GGA-PBE) of CdSn2Se4 after structural relaxation.

It has space group Cmcm (No. 63), with a = 4.004 Å, b = 13.109 Å, c = 13.877 Å, α = 90.00°, β = 90.00° and γ = 90.00°. Symmetry generates all atoms from Cd at (0.000, 0.099, 0.250), Sn at (0.000, 0.364, 0.066), Se at (0.000, 0.000, 0.000), Se at (0.000, 0.274, 0.625) and Se at (0.000, 0.459, 0.250).

As for the raw formation energy: -350.2 meV per atom. The calculation puts the raw total energy at -3.616 eV per atom.


What is the raw total energy in the third record? -3.616 eV per atom


Among the records above, which one has the lowest raw total energy? DyTm2Ga


Among the records above, which one has the highest raw total energy? KSbCI2